Density functional theory data (GGA+U) for a geometry-optimized Tl2FeMoF6 structure. Values from VASP.

```
&SYSTEM
  ibrav = 0, nat = 20, ntyp = 4
/
ATOMIC_SPECIES
Tl 204.38 Tl.upf
Fe 55.84 Fe.upf
Mo 95.94 Mo.upf
F 19.00 F.upf
CELL_PARAMETERS angstrom
6.0770 0.0000 0.0000
0.0000 9.4068 0.0000
0.0000 0.0000 6.0811
ATOMIC_POSITIONS angstrom
Tl 1.5193 9.4063 1.5232
Tl 1.5193 4.7040 1.5232
Tl 4.5578 0.0006 4.5579
Tl 4.5578 4.7029 4.5579
Fe 1.5193 2.3517 4.5568
Fe 4.5578 7.0551 1.5242
Mo 1.5193 7.0551 4.5656
Mo 4.5578 2.3517 1.5154
F 0.0030 2.3517 3.0401
F 6.0740 7.0551 3.0410
F 0.0041 2.3517 6.0732
F 1.5193 0.3409 4.5518
F 1.5193 4.3625 4.5518
F 3.0344 2.3517 6.0732
F 3.0355 2.3517 3.0401
F 3.0415 7.0551 3.0410
F 3.0426 7.0551 0.0079
F 4.5578 5.0444 1.5293
F 4.5578 9.0659 1.5293
F 6.0729 7.0551 0.0079
```

- magnetic moment (μB/cell) = 16.000
- electronic total energy (eV/atom) = -4.93
- symmetry = Pmmn (59)